Entry 1:
Material: TaMnPb3
Method: DFT, PBE-GGA
State: relaxed

**Space-group type**: Pm-3m (221)
**Energy above the most stable polymorph in this dataset**: 0.0 meV/atom
**ΔH_f (0 K)**: 4.63 eV per formula unit

abc: 5.508 5.508 5.508
angles: 90.00 90.00 90.00
Last column: magnetic moment on the atom in μB.
Positions (direct):
Pb 0.000 0.500 0.000  0.01
Pb 0.000 0.000 0.500  -0.01
Pb 0.500 0.000 0.000  0.01
Mn 0.500 0.500 0.500  -4.52
Ta 0.000 0.000 0.000  -0.47

Entry 2:
Material: Sr2MgAl4Ga3
Method: DFT, PBE-GGA
State: relaxed

**Space-group type**: P-4m2 (115)
**ΔH_f (0 K)**: -3.03 eV per formula unit

abc: 4.427 4.427 11.391
angles: 90.00 90.00 90.00
Positions (direct):
Sr 0.500 0.000 0.244
Sr 0.000 0.500 0.756
Mg 0.500 0.500 0.500
Al 0.500 0.500 0.000
Al 0.000 0.000 0.000
Al 0.500 0.000 0.641
Al 0.000 0.500 0.359
Ga 0.000 0.000 0.500
Ga 0.500 0.000 0.868
Ga 0.000 0.500 0.132

Entry 3:
Material: Mg2ZrAl
Method: DFT, PBE-GGA
State: relaxed

**Space-group type**: R-3m (166)
**ΔH_f (0 K)**: 0.07 eV per formula unit

abc: 10.440 10.440 10.440
angles: 16.89 16.89 16.89
Positions (direct):
Al 0.750 0.750 0.750
Mg 0.005 0.005 0.005
Mg 0.495 0.495 0.495
Zr 0.250 0.250 0.250

Entry 4:
Material: K2CrNi2S4
Method: DFT, PBE-GGA
State: relaxed

**Raw formation energy**: -0.717 eV/atom
**Space-group type**: C2/m (12)

abc: 3.673 7.330 7.117
angles: 108.02 104.96 90.00
Last column: magnetic moment on the atom in μB.
Positions (direct):
K 0.131 0.555 0.261  0.00
K 0.869 0.445 0.739  0.00
Cr 0.000 0.000 0.000  2.83
Ni 0.685 0.990 0.371  -0.62
Ni 0.315 0.010 0.629  -0.62
S 0.192 0.164 0.383  -0.13
S 0.808 0.836 0.617  -0.13
S 0.519 0.792 0.039  -0.10
S 0.481 0.208 0.961  -0.10

Entry 5:
Material: SmZr5Sc12
Method: DFT, PBE-GGA
State: relaxed

**Space-group type**: C2/m (12)
**ΔH_f (0 K)**: 0.29 eV per formula unit

abc: 5.669 5.673 15.810
angles: 86.67 83.32 60.02
Positions (direct):
Sm 0.000 0.000 0.000
Zr 0.500 0.000 0.500
Zr 0.165 0.669 0.500
Zr 0.835 0.331 0.500
Zr 0.667 0.667 0.000
Zr 0.333 0.333 0.000
Sc 0.888 0.000 0.336
Sc 0.112 0.000 0.664
Sc 0.604 0.000 0.168
Sc 0.396 0.000 0.832
Sc 0.283 0.660 0.168
Sc 0.056 0.660 0.832
Sc 0.944 0.340 0.168
Sc 0.717 0.340 0.832
Sc 0.447 0.333 0.661
Sc 0.780 0.667 0.661
Sc 0.220 0.333 0.339
Sc 0.553 0.667 0.339

Entry 6:
Material: Sm2Er4Th3
Method: DFT, PBE-GGA
State: relaxed

**Space-group type**: P3m1 (156)
**ΔH_f (0 K)**: 0.72 eV per formula unit

abc: 3.557 3.557 26.477
angles: 90.00 90.00 120.00
Positions (direct):
Sm 0.667 0.333 0.092
Sm 0.667 0.333 0.870
Er 0.000 0.000 0.542
Er 0.667 0.333 0.436
Er 0.667 0.333 0.219
Er 0.000 0.000 0.760
Th 0.000 0.000 0.983
Th 0.000 0.000 0.325
Th 0.667 0.333 0.651

| no. | uncorrected energy (eV per atom) |
| --- | --- |
| 1 | -5.50 |
| 2 | -3.20 |
| 3 | -3.85 |
| 4 | -5.15 |
| 5 | -6.84 |
| 6 | -5.47 |